Entry 1:
The following is a DFT calculation (PBE-GGA) of crystalline SmGa3Cu5 at its relaxed geometry.

Lattice parameters (Å, degrees): 3.9583 6.5947 11.6928 90.00 90.00 107.46
Atoms (fractional coordinates):
Sm  0.8205  0.6410  0.7500
Sm  0.1795  0.3590  0.2500
Ga  0.3796  0.7592  0.9440
Ga  0.8873  0.7746  0.2500
Ga  0.3796  0.7592  0.5560
Ga  0.6204  0.2408  0.4440
Ga  0.1127  0.2254  0.7500
Ga  0.6204  0.2408  0.0560
Cu  0.8091  0.6182  0.4419
Cu  0.1909  0.3818  0.9419
Cu  0.0000  0.0000  0.5000
Cu  0.0000  0.0000  0.0000
Cu  0.4461  0.8923  0.1441
Cu  0.5539  0.1077  0.8559
Cu  0.5539  0.1077  0.6441
Cu  0.8091  0.6182  0.0581
Cu  0.1909  0.3818  0.5581
Cu  0.4461  0.8923  0.3559

Summary:
Formation energy from the elements: -224 meV per atom
Total energy: -4.0331 eV per atom
DOS(E_F): 0.412 states/eV per atom
Calculated volume: 291.16 Å³ per cell



Entry 2:
The following is a DFT calculation (PBE-GGA) of crystalline Sm2GaCu3 at its relaxed geometry.

Lattice parameters (Å, degrees): 5.6848 5.6848 8.4022 106.74 106.74 98.53
Atoms (fractional coordinates):
Sm  0.2500  0.7500  0.5000
Sm  0.7595  0.7595  0.0000
Sm  0.7500  0.2500  0.5000
Sm  0.2405  0.2405  0.0000
Ga  0.6656  0.6656  0.3311
Ga  0.3344  0.3344  0.6689
Cu  0.3338  0.8314  0.1652
Cu  0.1686  0.6662  0.8348
Cu  0.6662  0.1686  0.8348
Cu  0.8314  0.3338  0.1652
Cu  0.1674  0.1674  0.3347
Cu  0.8326  0.8326  0.6653

Summary:
ΔE to the lowest computed polymorph: 0 meV per atom
Formation energy from the elements: -326 meV per atom
Total energy: -4.4516 eV per atom
DOS(E_F): 0.822 states/eV per atom
Calculated volume: 240.94 Å³ per cell